ReNiMo2Pt: relaxed, PBE-GGA.

Calculated values
- Formation energy from the elements: 1.538 eV/atom

Lattice parameters (Å, degrees): 4.683 4.442 4.683 90.00 90.00 90.00
Element x y z (fractional)
Re 0.000 0.000 0.000
Mo 0.000 0.000 0.500
Mo 0.500 0.000 0.000
Pt 0.500 0.500 0.500
Ni 0.000 0.500 0.000

***

MnCuW2: relaxed, PBE-GGA.

Calculated values
- E above lowest polymorph: 0.048 eV/atom
- Formation energy from the elements: 0.284 eV/atom

Lattice parameters (Å, degrees): 4.869 4.869 2.650 83.75 83.75 113.51
Site moments in Bohr magnetons follow the coordinates.
Element x y z (fractional)
Cu 0.500 0.000 0.500  -0.01
Mn 0.000 0.500 0.500  1.83
W 0.000 0.000 0.000  -0.16
W 0.500 0.500 0.000  -0.16

***

BaBiN3: relaxed, PBE-GGA.

Calculated values
- Total DFT energy (no corrections): -26.356 eV/f.u.

Lattice parameters (Å, degrees): 4.423 4.423 4.423 90.00 90.00 90.00
Site moments in Bohr magnetons follow the coordinates.
Element x y z (fractional)
N 0.000 0.500 0.000  0.52
N 0.000 0.000 0.500  0.44
N 0.500 0.000 0.000  0.59
Bi 0.000 0.000 0.000  -0.05
Ba 0.500 0.500 0.500  0.00

***

ThTlCuNi: relaxed, PBE-GGA.

Calculated values
- Formation energy from the elements: -0.145 eV/atom

Lattice parameters (Å, degrees): 4.816 4.816 4.816 60.00 60.00 60.00
Element x y z (fractional)
Ni 0.750 0.750 0.750
Tl 0.500 0.500 0.500
Cu 0.250 0.250 0.250
Th 0.000 0.000 0.000

***

AcMo2N: relaxed, PBE-GGA.

Calculated values
- Total DFT energy (no corrections): -32.195 eV/f.u.

Lattice parameters (Å, degrees): 3.370 3.370 8.236 78.19 78.19 60.00
Element x y z (fractional)
Ac 0.000 0.000 0.000
Mo 0.129 0.129 0.614
Mo 0.871 0.871 0.386
N 0.500 0.500 0.500

***

Li2DyCd2Sn2: relaxed, PBE-GGA.

Calculated values
- Formation energy from the elements: -0.399 eV/atom

Lattice parameters (Å, degrees): 4.685 4.685 8.684 74.35 74.35 60.00
Element x y z (fractional)
Li 0.143 0.143 0.571
Li 0.857 0.857 0.429
Dy 0.000 0.000 0.000
Cd 0.559 0.559 0.322
Cd 0.441 0.441 0.678
Sn 0.734 0.734 0.798
Sn 0.266 0.266 0.202

***

Ac2TlTe6Pb3: relaxed, PBE-GGA.

Calculated values
- Total DFT energy (no corrections): -50.048 eV/f.u.

Lattice parameters (Å, degrees): 4.952 9.187 10.500 101.47 103.64 90.00
Element x y z (fractional)
Ac 0.835 0.678 0.670
Ac 0.165 0.322 0.330
Tl 0.500 0.000 0.000
Te 0.326 0.922 0.652
Te 0.666 0.575 0.333
Te 0.674 0.078 0.348
Te 0.002 0.262 0.004
Te 0.998 0.738 0.996
Te 0.334 0.425 0.667
Pb 0.500 0.500 0.000
Pb 0.838 0.154 0.676
Pb 0.162 0.846 0.324

***

Cs4Ga: relaxed, PBE-GGA.

Calculated values
- Formation energy from the elements: 0.129 eV/atom

Lattice parameters (Å, degrees): 7.620 7.620 7.620 90.00 90.00 90.00
Element x y z (fractional)
Cs 0.000 0.000 0.000
Cs 0.500 0.000 0.500
Cs 0.000 0.500 0.500
Cs 0.500 0.500 0.000
Ga 0.500 0.500 0.500